The following is a DFT calculation (PBE) of a relaxed KMgCo2 crystal.

Density of states at the Fermi level in states/eV/cell: 4.28
DFT formation energy in eV/atom: 0.994

abc: 6.447 5.404 2.739
angles: 90.48 63.97 119.03
Site moments in Bohr magnetons follow the coordinates.
Positions (direct):
Co (0.500, 0.000, 0.500)  1.59
K (0.000, 0.500, 0.500)  -0.04
Mg (0.500, 0.500, 0.000)  -0.02
Co (0.000, 0.000, 0.000)  1.59

---

The following is a DFT calculation (PBE) of a relaxed KMgCo2 crystal.

Density of states at the Fermi level in states/eV/cell: 4.30
DFT formation energy in eV/atom: 0.701

abc: 6.051 6.051 6.051
angles: 151.77 128.23 60.01
Site moments in Bohr magnetons follow the coordinates.
Positions (direct):
Co (0.964, 0.964, 0.000)  1.74
K (0.517, 0.517, 0.000)  -0.01
Co (0.805, 0.305, 0.500)  1.76
Mg (0.214, 0.714, 0.500)  -0.01

---

The following is a DFT calculation (PBE) of a relaxed K2Mg4Co crystal.

Density of states at the Fermi level in states/eV/cell: 3.69
DFT formation energy in eV/atom: 0.248

abc: 5.072 5.072 9.911
angles: 75.18 75.18 90.00
Positions (direct):
K (0.659, 0.659, 0.682)
Co (0.000, 0.000, 0.000)
Mg (0.500, 0.000, 0.000)
Mg (0.000, 0.500, 0.000)
Mg (0.871, 0.871, 0.257)
Mg (0.129, 0.129, 0.743)
K (0.341, 0.341, 0.318)